1.
Compound: CuPtSeN2
Source: the Alexandria database
Functional: GGA-PBE
Structure: relaxed

Summary:
* energy relative to the elements, uncorrected: 1552 meV/atom
* SG: No. 123
* calculated volume: 81.6 Å³ per cell

Cell lengths 3.652, 3.652, 6.120 Å; angles 90.00, 90.00, 90.00 degrees
Fractional coordinates of all 5 atoms:
Cu 0.000 0.000 0.000
Pt 0.500 0.500 0.500
Se 0.000 0.000 0.500
N 0.000 0.500 0.000
N 0.500 0.000 0.000

***

2.
Compound: BaMo2Pb
Source: the Alexandria database
Functional: GGA-PBE
Structure: relaxed

Summary:
* calculated formation energy: 812 meV per atom
* SG: No. 123
* calculated volume: 105.4 Å³ per cell

Cell lengths 3.789, 3.789, 7.339 Å; angles 90.00, 90.00, 90.00 degrees
Fractional coordinates of all 4 atoms:
Ba 0.000 0.000 0.000
Mo 0.500 0.500 0.342
Mo 0.500 0.500 0.658
Pb 0.000 0.000 0.500

***

3.
Compound: AgMoIN2
Source: the Alexandria database
Functional: GGA-PBE
Structure: relaxed

Summary:
* energy relative to the elements, uncorrected: 583 meV/atom
* SG: No. 123
* calculated volume: 93.4 Å³ per cell

Cell lengths 3.970, 3.970, 5.929 Å; angles 90.00, 90.00, 90.00 degrees
Fractional coordinates of all 5 atoms:
Ag 0.000 0.000 0.000
Mo 0.500 0.500 0.500
I 0.500 0.500 0.000
N 0.000 0.500 0.500
N 0.500 0.000 0.500